The following is a PBE calculation of a relaxed structure of BaCuPt, from Alexandria.

## Properties
For the magnetic moment, the calculation gives 0.000 μB/f.u. The space group is P-6m2, No. 187. The value obtained for the calculated volume is 76.7 Å³/cell. For the energy above the most stable polymorph in this dataset, the calculation gives 0 meV/atom.

a b c (Å): 4.3985 4.3985 4.5784
angles (deg): 90.00 90.00 120.00
Last column: nearest neighbours and their distance in Å.
Atoms (fractional coordinates):
Ba1 0.0000 0.0000 0.0000  6 Cu 3.42, 6 Pt 3.42
Cu1 0.6667 0.3333 0.5000  3 Pt 2.54
Pt1 0.3333 0.6667 0.5000  3 Cu 2.54